First-principles (PBE-GGA) data for a geometry-optimized Zr2AlSb structure, as listed in Alexandria.

```
Zr2AlSb
1.0
-2.353 -1.728 4.303
6.517 1.130 -0.170
0.782 2.621 1.846
Sb Zr Al
1 2 1
direct
0.500 0.000 0.500 Sb
0.000 0.500 0.500 Zr
0.000 0.000 0.000 Zr
0.500 0.500 0.000 Al
```

Computed properties:
Its space-group type is No. 12. Its crystal system is monoclinic. As for the calculated volume: 84.78 Å³ per cell. For the formation energy (no corrections), the calculation gives -411 meV per atom. The density of states at the Fermi level is 0.679 states/eV/atom.